No. 1
ZrI2BrN: optimized geometry, PBEsol.

As for the formation energy (no corrections): 1.163 eV/atom. The value obtained for the total energy is -3.4409 eV per atom. The volume is 132.4 Å³/f.u.

It has space group P4/mmm (No. 123), with a = 6.020 Å, b = 6.020 Å, c = 3.651 Å, α = 90.00°, β = 90.00° and γ = 90.00°. Symmetry generates all atoms from Zr at (0.000, 0.000, 0.000), I at (0.000, 0.500, 0.500), Br at (0.500, 0.500, 0.500) and N at (0.500, 0.500, 0.000).



No. 2
Na3IBr: optimized geometry, PBEsol.

As for the formation energy (no corrections): -0.856 eV/atom. The value obtained for the total energy is -2.4230 eV per atom. The volume is 182.5 Å³/f.u.

It has space group Pm-3m (No. 221), with a = 5.672 Å, b = 5.672 Å, c = 5.672 Å, α = 90.00°, β = 90.00° and γ = 90.00°. Symmetry generates all atoms from Na at (0.000, 0.000, 0.500), I at (0.500, 0.500, 0.500) and Br at (0.000, 0.000, 0.000).



No. 3
Na2IBr: optimized geometry, PBEsol.

As for the formation energy (no corrections): -1.310 eV/atom. The value obtained for the total energy is -2.9187 eV per atom. The volume is 155.9 Å³/f.u.

It has space group I-42d (No. 122), with a = 6.988 Å, b = 6.988 Å, c = 12.772 Å, α = 90.00°, β = 90.00° and γ = 90.00°. Symmetry generates all atoms from Na at (0.222, 0.250, 0.125), I at (0.000, 0.000, 0.500) and Br at (0.000, 0.000, 0.000).



No. 4
NaIBr2: optimized geometry, PBEsol.

As for the formation energy (no corrections): -0.770 eV/atom. The value obtained for the total energy is -2.4966 eV per atom. The volume is 147.8 Å³/f.u.

It has space group R-3m (No. 166, hexagonal axes), with a = 4.5747 Å, b = 4.5747 Å, c = 24.4608 Å, α = 90.00°, β = 90.00° and γ = 120.00°. Symmetry generates all atoms from Na at (0.0000, 0.0000, 0.0000), I at (0.0000, 0.0000, 0.5000) and Br at (0.0000, 0.0000, 0.3894).



No. 5
Na3IBr: optimized geometry, PBEsol.

As for the formation energy (no corrections): -0.681 eV/atom. The value obtained for the total energy is -2.2478 eV per atom. The volume is 214.1 Å³/f.u.

It has space group Pm-3m (No. 221), with a = 5.982 Å, b = 5.982 Å, c = 5.982 Å, α = 90.00°, β = 90.00° and γ = 90.00°. Symmetry generates all atoms from Na at (0.000, 0.000, 0.500), I at (0.000, 0.000, 0.000) and Br at (0.500, 0.500, 0.500).



No. 6
NaSrIBr2: optimized geometry, PBEsol.

As for the formation energy (no corrections): -1.535 eV/atom. The value obtained for the total energy is -3.2839 eV per atom. The volume is 216.7 Å³/f.u.

It has space group P4/mmm (No. 123), with a = 5.827 Å, b = 5.827 Å, c = 6.381 Å, α = 90.00°, β = 90.00° and γ = 90.00°. Symmetry generates all atoms from Na at (0.000, 0.000, 0.000), Sr at (0.500, 0.500, 0.500), I at (0.500, 0.500, 0.000) and Br at (0.000, 0.500, 0.500).



No. 7
NaTeI2Br: optimized geometry, PBEsol.

As for the formation energy (no corrections): 0.264 eV/atom. The value obtained for the total energy is -1.8024 eV per atom. The volume is 173.2 Å³/f.u.

It has space group P4/mmm (No. 123), with a = 5.477 Å, b = 5.477 Å, c = 5.775 Å, α = 90.00°, β = 90.00° and γ = 90.00°. Symmetry generates all atoms from Na at (0.000, 0.000, 0.000), Te at (0.000, 0.000, 0.500), I at (0.000, 0.500, 0.000) and Br at (0.500, 0.500, 0.500).



No. 8
I2BrO2: optimized geometry, PBEsol.

As for the formation energy (no corrections): 0.086 eV/atom. The value obtained for the total energy is -3.0947 eV per atom. The volume is 127.1 Å³/f.u.

It has space group P4/mmm (No. 123), with a = 4.097 Å, b = 4.097 Å, c = 7.572 Å, α = 90.00°, β = 90.00° and γ = 90.00°. Symmetry generates all atoms from I at (0.000, 0.000, 0.000), I at (0.000, 0.000, 0.500), Br at (0.500, 0.500, 0.000) and O at (0.000, 0.500, 0.500).



No. 9
IBrO2: optimized geometry, PBEsol.

As for the formation energy (no corrections): 0.121 eV/atom. The value obtained for the total energy is -3.4126 eV per atom. The volume is 71.4 Å³/f.u.

It has space group R-3m (No. 166, hexagonal axes), with a = 3.9344 Å, b = 3.9344 Å, c = 15.9768 Å, α = 90.00°, β = 90.00° and γ = 120.00°. Symmetry generates all atoms from I at (0.0000, 0.0000, 0.0000), Br at (0.0000, 0.0000, 0.5000) and O at (0.0000, 0.0000, 0.3702).



No. 10
I3BrO: optimized geometry, PBEsol.

As for the formation energy (no corrections): 0.957 eV/atom. The value obtained for the total energy is -1.5274 eV per atom. The volume is 191.7 Å³/f.u.

It has space group Pm-3m (No. 221), with a = 5.766 Å, b = 5.766 Å, c = 5.766 Å, α = 90.00°, β = 90.00° and γ = 90.00°. Symmetry generates all atoms from I at (0.000, 0.000, 0.500), Br at (0.000, 0.000, 0.000) and O at (0.500, 0.500, 0.500).



No. 11
OsI2BrO: optimized geometry, PBEsol.

As for the formation energy (no corrections): 0.037 eV/atom. The value obtained for the total energy is -4.5373 eV per atom. The volume is 113.8 Å³/f.u.

It has space group P4/mmm (No. 123), with a = 5.540 Å, b = 5.540 Å, c = 3.707 Å, α = 90.00°, β = 90.00° and γ = 90.00°. Symmetry generates all atoms from Os at (0.000, 0.000, 0.000), I at (0.000, 0.500, 0.000), Br at (0.500, 0.500, 0.500) and O at (0.000, 0.000, 0.500).



No. 12
PI2BrO: optimized geometry, PBEsol.

As for the formation energy (no corrections): 0.932 eV/atom. The value obtained for the total energy is -2.3565 eV per atom. The volume is 123.9 Å³/f.u.

It has space group P4/mmm (No. 123), with a = 5.680 Å, b = 5.680 Å, c = 3.840 Å, α = 90.00°, β = 90.00° and γ = 90.00°. Symmetry generates all atoms from P at (0.000, 0.000, 0.000), I at (0.000, 0.500, 0.500), Br at (0.500, 0.500, 0.500) and O at (0.500, 0.500, 0.000).



no.,total magnetization (μB/f.u.)
1,1.42
2,0.00
3,0.00
4,0.00
5,0.00
6,0.00
7,0.00
8,0.00
9,0.00
10,2.38
11,0.00
12,0.00